Record 1
HgPd2Au GGA-PBE optimized geometry; total DFT energy (no corrections) = -87.5 eV per cell
1.0
-1.639 -1.453 3.945
-5.022 -3.214 -3.271
7.685 -11.097 -0.894
Pd Au Hg
12 6 6
Cartesian
2.638 -11.658 -3.198 Pd
-4.586 -3.137 -0.481 Pd
-4.125 -5.713 1.342 Pd
5.148 -10.051 -1.562 Pd
-1.614 -4.106 2.977 Pd
-2.075 -1.530 1.155 Pd
0.487 -5.229 0.856 Pd
0.076 -7.959 -2.900 Pd
0.537 -10.535 -1.077 Pd
2.587 -6.352 -1.265 Pd
-2.024 -6.836 -0.779 Pd
3.048 -8.928 0.559 Pd
0.051 -5.306 -1.933 Au
3.023 -6.275 1.525 Au
5.584 -9.973 1.227 Au
2.613 -9.005 -2.232 Au
0.462 -2.577 1.823 Au
-2.511 -1.607 -1.635 Au
0.512 -7.882 -0.110 Hg
2.561 -3.699 -0.298 Hg
3.073 -11.580 -0.408 Hg
5.123 -7.398 -0.596 Hg
-2.049 -4.184 0.188 Hg
0.000 0.000 0.000 Hg

***

Record 2
ScNbTe GGA-PBE optimized geometry; relative energy among the computed polymorphs = 0.000 eV/atom; total DFT energy (no corrections) = -19.6 eV per cell
1.0
0.000 3.269 3.269
3.269 0.000 3.269
3.269 3.269 0.000
Nb Sc Te
1 1 1
Cartesian
1.635 1.635 1.635 Nb
4.904 4.904 4.904 Sc
0.000 0.000 0.000 Te